Below is a relaxed AlB2Ru2 crystal, with properties calculated at the PBE level.

Cell lengths 6.782, 6.782, 6.782 Å; angles 155.27, 155.27, 35.26 degrees
Element x y z (fractional)
Al1 0.000 0.000 0.000
B1 0.250 0.750 0.500
B2 0.750 0.250 0.500
Ru1 0.377 0.377 0.000
Ru2 0.623 0.623 0.000

Properties
formation energy	-389	meV/atom
uncorrected energy	-37.59	eV/cell

***

Below is a relaxed Al2B2Ru crystal, with properties calculated at the PBE level.

Cell lengths 5.741, 5.741, 3.185 Å; angles 90.00, 90.00, 90.00 degrees
Element x y z (fractional)
Al1 0.181 0.319 0.000
Al2 0.319 0.819 0.000
Al3 0.681 0.181 0.000
Al4 0.819 0.681 0.000
B1 0.104 0.604 0.500
B2 0.396 0.104 0.500
B3 0.604 0.896 0.500
B4 0.896 0.396 0.500
Ru1 0.000 0.000 0.500
Ru2 0.500 0.500 0.500

Properties
formation energy	-314	meV/atom
uncorrected energy	-63.37	eV/cell

***

Below is a relaxed Al3BRu crystal, with properties calculated at the PBE level.

Cell lengths 4.666, 4.666, 4.666 Å; angles 90.00, 90.00, 90.00 degrees
Element x y z (fractional)
Al1 0.000 0.000 0.500
Al2 0.000 0.500 0.000
Al3 0.500 0.000 0.000
B1 0.500 0.500 0.500
Ru1 0.000 0.000 0.000

Properties
formation energy	813	meV/atom
uncorrected energy	-23.12	eV/cell